# 1
The following is a DFT calculation (GGA-PBE) of a relaxed Pm3Sm3Ho8 crystal.

POSCAR file:
```
Pm3Sm3Ho8
1.0
-2.831 5.383 7.558
2.831 -5.383 7.558
2.831 5.383 -7.558
Pm Sm Ho
3 3 8
Direct
0.000 0.000 0.000
0.185 0.685 0.500
0.815 0.315 0.500
0.200 0.500 0.700
0.500 0.500 0.000
0.800 0.500 0.300
0.119 0.279 0.839
0.238 0.897 0.341
0.440 0.279 0.161
0.444 0.103 0.341
0.556 0.897 0.659
0.560 0.721 0.839
0.762 0.103 0.659
0.881 0.721 0.161
```

## Properties
electronic total energy: -4.53 eV/atom
symmetry: Immm, No. 71
ΔH_f (0 K): 111 meV/atom

=====

# 2
The following is a DFT calculation (GGA-PBE) of a relaxed Cu2OF2 crystal.

POSCAR file:
```
Cu2OF2
1.0
-2.862 2.862 5.061
2.862 -2.862 5.061
2.862 2.862 -5.061
Cu O F
4 2 4
Direct
0.000 0.000 0.000
0.000 0.000 0.500
0.000 0.500 0.000
0.500 0.000 0.500
0.125 0.875 0.250
0.875 0.125 0.750
0.131 0.381 0.750
0.381 0.131 0.250
0.619 0.869 0.750
0.869 0.619 0.250
```

## Properties
electronic total energy: -4.49 eV/atom
symmetry: I4_1/amd, No. 141
formation energy from raw total energies: -1.108 eV/atom

=====

# 3
The following is a DFT calculation (GGA-PBE) of a relaxed Li2Er2Au3 crystal.

POSCAR file:
```
Li2Er2Au3
1.0
3.543 0.000 0.000
0.000 23.426 0.000
0.000 0.000 3.448
Li Er Au
4 4 6
Direct
0.000 0.209 0.000
0.000 0.791 0.000
0.500 0.291 0.000
0.500 0.709 0.000
0.000 0.079 0.000
0.000 0.921 0.000
0.500 0.421 0.000
0.500 0.579 0.000
0.000 0.347 0.500
0.000 0.500 0.500
0.000 0.653 0.500
0.500 0.000 0.500
0.500 0.153 0.500
0.500 0.847 0.500
```

## Properties
electronic total energy: -3.90 eV/atom
symmetry: Cmmm, No. 65
ΔH_f (0 K): -640 meV/atom

=====

# 4
The following is a DFT calculation (GGA-PBE) of a relaxed YAuO2F crystal.

POSCAR file:
```
YAuO2F
1.0
4.457 0.000 0.000
0.000 4.457 0.000
0.000 0.000 4.301
Y Au O F
1 1 2 1
Direct
0.000 0.000 0.000
0.500 0.500 0.500
0.000 0.500 0.000
0.500 0.000 0.000
0.000 0.000 0.500
```

## Properties
electronic total energy: -5.88 eV/atom
symmetry: P4/mmm, No. 123
formation energy from raw total energies: -1.573 eV/atom

=====

# 5
The following is a DFT calculation (GGA-PBE) of a relaxed Sc6AgHg5 crystal.

POSCAR file:
```
Sc6AgHg5
1.0
2.472 -7.435 0.000
2.472 7.435 0.000
0.000 0.000 7.037
Sc Ag Hg
6 1 5
Direct
0.000 0.000 0.248
0.000 0.000 0.752
0.334 0.666 0.247
0.334 0.666 0.753
0.666 0.334 0.247
0.666 0.334 0.753
0.500 0.500 0.000
0.163 0.837 0.000
0.168 0.832 0.500
0.500 0.500 0.500
0.832 0.168 0.500
0.837 0.163 0.000
```

## Properties
electronic total energy: -3.93 eV/atom
symmetry: Cmmm, No. 65
ΔH_f (0 K): -404 meV/atom

=====

# 6
The following is a DFT calculation (GGA-PBE) of a relaxed La3DySb4 crystal.

POSCAR file:
```
La3DySb4
1.0
9.130 0.000 0.000
0.000 12.915 0.000
0.000 0.000 4.574
La Dy Sb
6 2 8
Direct
0.000 0.000 0.000
0.250 0.250 0.500
0.250 0.750 0.500
0.500 0.500 0.000
0.750 0.250 0.500
0.750 0.750 0.500
0.000 0.500 0.000
0.500 0.000 0.000
0.000 0.254 0.000
0.000 0.746 0.000
0.241 0.500 0.500
0.259 0.000 0.500
0.500 0.246 0.000
0.500 0.754 0.000
0.741 0.000 0.500
0.759 0.500 0.500
```

## Properties
electronic total energy: -5.72 eV/atom
symmetry: Cmmm, No. 65
formation energy from raw total energies: -1.231 eV/atom

=====

# 7
The following is a DFT calculation (GGA-PBE) of a relaxed CsCaBi2 crystal.

POSCAR file:
```
CsCaBi2
1.0
3.988 0.000 0.000
-1.994 3.453 0.000
0.000 0.000 33.542
Cs Ca Bi
3 3 6
Direct
0.000 0.000 0.000
0.333 0.667 0.667
0.667 0.333 0.333
0.000 0.000 0.500
0.333 0.667 0.167
0.667 0.333 0.833
0.000 0.000 0.239
0.000 0.000 0.761
0.333 0.667 0.428
0.333 0.667 0.906
0.667 0.333 0.094
0.667 0.333 0.572
```

## Properties
electronic total energy: -3.01 eV/atom
symmetry: R-3m, No. 166
ΔH_f (0 K): -358 meV/atom

=====

# 8
The following is a DFT calculation (GGA-PBE) of a relaxed Rb2LaIrBr6 crystal.

POSCAR file:
```
Rb2LaIrBr6
1.0
-3.771 3.771 6.687
3.771 -3.771 6.687
3.771 3.771 -6.687
Rb La Ir Br
2 1 1 6
Direct
0.250 0.750 0.500
0.750 0.250 0.500
0.000 0.000 0.000
0.500 0.500 0.000
0.220 0.220 0.000
0.271 0.271 0.541
0.271 0.729 0.000
0.729 0.271 0.000
0.729 0.729 0.459
0.780 0.780 0.000
```

## Properties
electronic total energy: -3.78 eV/atom
symmetry: I4/mmm, No. 139
formation energy from raw total energies: -1.200 eV/atom